## BaCaV2Ni3H2O10 (PBE with a Hubbard U)

Data for a relaxed BaCaV2Ni3H2O10 crystal.

Geometry as POSCAR:
```
BaCaV2Ni3H2O10
1.0
5.6210 -2.9639 0.0000
5.6210 2.9639 0.0000
-4.8650 0.0000 7.5237
Ba Ca V Ni H O
1 1 2 3 2 10
Direct
0.0000 0.0000 0.0000
0.5000 0.5000 0.5000
0.4147 0.4147 0.1622
0.5853 0.5853 0.8378
0.0000 0.0000 0.5000
0.0000 0.5000 0.5000
0.5000 0.0000 0.5000
0.2586 0.2586 0.7392
0.7414 0.7414 0.2608
0.1995 0.1995 0.6048
0.2436 0.7207 0.7017
0.2793 0.7564 0.2983
0.2800 0.2800 0.1974
0.3605 0.3605 0.9449
0.6395 0.6395 0.0551
0.7200 0.7200 0.8026
0.7207 0.2436 0.7017
0.7564 0.2793 0.2983
0.8005 0.8005 0.3952
```

Properties
* total DFT energy (no corrections): -112.14 eV for the cell shown
* energy relative to the lowest polymorph listed for this composition: 155 meV/atom